! Ga3MoF | Alexandria | GGA+U | relaxed; values from VASP
&SYSTEM
  ibrav = 0, nat = 5, ntyp = 3
/
ATOMIC_SPECIES
Mo 95.94 Mo.upf
Ga 69.72 Ga.upf
F 19.00 F.upf
ATOMIC_POSITIONS crystal
Mo 0.500 0.500 0.500
Ga 0.000 0.500 0.000
Ga 0.000 0.000 0.500
Ga 0.500 0.000 0.000
F 0.000 0.000 0.000
CELL_PARAMETERS angstrom
-2.229 -3.851 -1.213
2.771 -2.466 2.740
-2.937 0.596 3.505
! Raw total energy in eV per atom: -3.611